First-principles (PBE) data for a relaxed structure of Zr6Pb2C, as listed in Alexandria via LeMat-Bulk.

Structure (CIF):
```
data_Zr6Pb2C
_symmetry_space_group_name_H-M 'P 1 21/c 1'
_symmetry_Int_Tables_number 14
_cell_length_a 6.038
_cell_length_b 7.124
_cell_length_c 10.916
_cell_angle_alpha 90.00
_cell_angle_beta 121.84
_cell_angle_gamma 90.00
loop_
_symmetry_equiv_pos_as_xyz
'x,y,z'
'-x,-y,-z'
'-x,y+1/2,-z+1/2'
'x,-y+1/2,z+1/2'
loop_
_atom_site_label
_atom_site_fract_x
_atom_site_fract_y
_atom_site_fract_z
Zr1 0.139 0.013 0.248
Zr2 0.183 0.710 0.032
Zr3 0.359 0.172 0.026
Pb1 0.328 0.099 0.744
C1 0.000 0.000 0.000
```

Output
**D(E_F)**: 0.755 states/eV per atom
**Final energy**: -7.77 eV/atom
**Polymorph energy (0 for the lowest one)**: 0.074 eV/atom
**Spin magnetization**: 0.00 μB/f.u.